# K3MnW2O9

An optimized crystal structure of K3MnW2O9 (PBE with a Hubbard U, the Alexandria database).

```
15
Lattice="5.658 0.000 0.000 -2.829 4.900 0.000 0.000 0.000 6.949" Properties=species:S:1:pos:R:3 pbc="T T T"
K 0.000 3.266 4.617
O -1.375 4.060 2.254
O 2.829 3.221 4.694
O 1.454 0.839 4.694
O 0.000 1.678 2.254
O 4.204 0.839 4.694
O 2.829 0.000 0.000
O 1.414 2.450 0.000
Mn 0.000 0.000 3.474
K 2.829 1.633 2.331
W 2.829 1.633 5.730
O -1.414 2.450 0.000
K 0.000 0.000 0.000
O 1.375 4.060 2.254
W 0.000 3.266 1.219
```

Properties
As for the total moment: 3.976 μB/f.u. As for the total energy: -98.65 eV/cell. The crystal system is trigonal.